No. 1
## CaPmTe2 (PBE)

Data for an optimized crystal structure of CaPmTe2.

```
data_CaPmTe2
_chemical_formula_sum 'Ca4 Pm4 Te8'
_symmetry_space_group_name_H-M 'F m -3 m'
_symmetry_Int_Tables_number 225
_symmetry_space_group_name_Hall '-F 4 2 3'
_cell_length_a 7.7785
_cell_length_b 7.7785
_cell_length_c 7.7785
_cell_angle_alpha 90.00
_cell_angle_beta 90.00
_cell_angle_gamma 90.00
loop_
_atom_site_label
_atom_site_type_symbol
_atom_site_fract_x
_atom_site_fract_y
_atom_site_fract_z
Ca1 Ca 0.0000 0.0000 0.0000
Pm1 Pm 0.0000 0.0000 0.5000
Te1 Te 0.2500 0.2500 0.2500
```

Output
formation energy without anion corrections: -1.2522 eV/atom
crystal system: cubic
energy above the most stable polymorph in this dataset: 98.7 kJ/mol of formula units

=====

No. 2
## Ca4Pm3Te8 (PBE)

Data for an optimized crystal structure of Ca4Pm3Te8.

```
data_Ca4Pm3Te8
_chemical_formula_sum 'Ca12 Pm9 Te24'
_symmetry_space_group_name_H-M 'R -3 m'
_symmetry_Int_Tables_number 166
_symmetry_space_group_name_Hall '-R 3 2"'
_cell_length_a 8.9444
_cell_length_b 8.9444
_cell_length_c 24.4982
_cell_angle_alpha 90.00
_cell_angle_beta 90.00
_cell_angle_gamma 120.00
loop_
_atom_site_label
_atom_site_type_symbol
_atom_site_fract_x
_atom_site_fract_y
_atom_site_fract_z
Ca1 Ca 0.0000 0.0000 0.0000
Ca2 Ca 0.0000 0.0000 0.1438
Ca3 Ca 0.0000 0.0000 0.5000
Pm1 Pm 0.0000 0.5000 0.0000
Te1 Te 0.0000 0.0000 0.2639
Te2 Te 0.0068 0.5034 0.2545
```

Output
formation energy without anion corrections: -1.4120 eV/atom
crystal system: trigonal
energy above the most stable polymorph in this dataset: 165.3 kJ/mol of formula units